Record 1
{
  "formula": "HoErZr2",
  "functional": "PBE-GGA",
  "state": "relaxed",
  "crystal_system": "trigonal",
  "ef_mev_per_atom": 95,
  "dos_ef_per_ev_cell": 5.30,
  "polymorph_energy_ev_per_fu": 0.088,
  "lattice_angstrom": [[1.678, 0.969, 10.800], [-1.678, 0.969, 10.800], [0.000, -1.938, 10.800]],
  "species": ["Ho", "Er", "Zr", "Zr"],
  "frac_coords": [[0.000, 0.000, 0.000], [0.167, 0.167, 0.167], [0.583, 0.583, 0.583], [0.750, 0.750, 0.750]]
}

=====

Record 2
{
  "formula": "Ho12Er3Zr",
  "functional": "PBE-GGA",
  "state": "relaxed",
  "crystal_system": "tetragonal",
  "ef_mev_per_atom": 36,
  "dos_ef_per_ev_cell": 20.59,
  "lattice_angstrom": [[4.951, 0.000, 0.000], [0.000, 4.951, 0.000], [0.000, 0.000, 19.732]],
  "species": ["Ho", "Ho", "Ho", "Ho", "Ho", "Ho", "Ho", "Ho", "Ho", "Ho", "Ho", "Ho", "Er", "Er", "Er", "Zr"],
  "frac_coords": [[0.000, 0.000, 0.000], [0.000, 0.000, 0.247], [0.000, 0.000, 0.500], [0.000, 0.000, 0.753], [0.000, 0.500, 0.118], [0.000, 0.500, 0.373], [0.000, 0.500, 0.627], [0.000, 0.500, 0.882], [0.500, 0.000, 0.118], [0.500, 0.000, 0.373], [0.500, 0.000, 0.627], [0.500, 0.000, 0.882], [0.500, 0.500, 0.248], [0.500, 0.500, 0.500], [0.500, 0.500, 0.752], [0.500, 0.500, 0.000]]
}

=====

Record 3
{
  "formula": "HoErZr2",
  "functional": "PBE-GGA",
  "state": "relaxed",
  "crystal_system": "tetragonal",
  "ef_mev_per_atom": 109,
  "dos_ef_per_ev_cell": 5.25,
  "polymorph_energy_ev_per_fu": 0.142,
  "lattice_angstrom": [[4.688, 0.000, 0.000], [0.000, 4.688, 0.000], [0.000, 0.000, 4.783]],
  "species": ["Ho", "Er", "Zr", "Zr"],
  "frac_coords": [[0.000, 0.000, 0.000], [0.500, 0.500, 0.000], [0.000, 0.500, 0.500], [0.500, 0.000, 0.500]]
}

=====

Record 4
{
  "formula": "Ho4Er5Zr",
  "functional": "PBE-GGA",
  "state": "relaxed",
  "crystal_system": "triclinic",
  "ef_mev_per_atom": 40,
  "dos_ef_per_ev_cell": 11.76,
  "polymorph_energy_ev_per_fu": 0.000,
  "lattice_angstrom": [[3.467, 0.000, 0.000], [-0.020, 6.980, 0.000], [-1.733, -1.730, 12.270]],
  "species": ["Ho", "Ho", "Ho", "Ho", "Er", "Er", "Er", "Er", "Er", "Zr"],
  "frac_coords": [[0.096, 0.288, 0.191], [0.096, 0.808, 0.191], [0.904, 0.192, 0.809], [0.904, 0.712, 0.809], [0.299, 0.899, 0.599], [0.300, 0.401, 0.601], [0.500, 0.500, 0.000], [0.700, 0.599, 0.399], [0.701, 0.101, 0.401], [0.500, 0.000, 0.000]]
}

=====

Record 5
{
  "formula": "Ho2Er8Zr",
  "functional": "PBE-GGA",
  "state": "relaxed",
  "crystal_system": "monoclinic",
  "ef_mev_per_atom": 41,
  "dos_ef_per_ev_cell": 14.12,
  "polymorph_energy_ev_per_fu": 0.000,
  "lattice_angstrom": [[8.866, -2.453, 0.000], [8.866, 2.453, 0.000], [-2.050, 0.000, 7.511]],
  "species": ["Ho", "Ho", "Er", "Er", "Er", "Er", "Er", "Er", "Er", "Er", "Zr"],
  "frac_coords": [[0.226, 0.226, 0.135], [0.774, 0.774, 0.865], [0.044, 0.044, 0.236], [0.132, 0.132, 0.675], [0.321, 0.321, 0.590], [0.411, 0.411, 0.055], [0.589, 0.589, 0.945], [0.679, 0.679, 0.410], [0.868, 0.868, 0.325], [0.956, 0.956, 0.764], [0.500, 0.500, 0.500]]
}

=====

Record 6
{
  "formula": "Ho3ErZr",
  "functional": "PBE-GGA",
  "state": "relaxed",
  "crystal_system": "triclinic",
  "ef_mev_per_atom": 45,
  "dos_ef_per_ev_cell": 16.91,
  "polymorph_energy_ev_per_fu": 0.000,
  "lattice_angstrom": [[6.103, 0.000, 0.000], [-0.015, 6.547, 0.000], [-3.006, -1.757, 7.338]],
  "species": ["Ho", "Ho", "Ho", "Ho", "Ho", "Ho", "Er", "Er", "Zr", "Zr"],
  "frac_coords": [[0.093, 0.241, 0.499], [0.292, 0.669, 0.902], [0.323, 0.562, 0.303], [0.677, 0.438, 0.697], [0.708, 0.331, 0.098], [0.907, 0.759, 0.501], [0.121, 0.151, 0.905], [0.879, 0.849, 0.095], [0.482, 0.052, 0.312], [0.518, 0.948, 0.688]]
}

=====

Record 7
{
  "formula": "Ho7Er12Zr",
  "functional": "PBE-GGA",
  "state": "relaxed",
  "crystal_system": "cubic",
  "ef_mev_per_atom": 800,
  "dos_ef_per_ev_cell": 21.73,
  "polymorph_energy_ev_per_fu": 10.619,
  "lattice_angstrom": [[-5.625, 5.625, 5.625], [5.625, -5.625, 5.625], [5.625, 5.625, -5.625]],
  "species": ["Ho", "Ho", "Ho", "Ho", "Ho", "Ho", "Ho", "Er", "Er", "Er", "Er", "Er", "Er", "Er", "Er", "Er", "Er", "Er", "Er", "Zr"],
  "frac_coords": [[0.000, 0.000, 0.500], [0.000, 0.500, 0.000], [0.000, 0.500, 0.500], [0.500, 0.000, 0.000], [0.500, 0.000, 0.500], [0.500, 0.500, 0.000], [0.500, 0.500, 0.500], [0.001, 0.219, 0.782], [0.218, 0.437, 0.219], [0.218, 0.999, 0.781], [0.219, 0.218, 0.437], [0.219, 0.782, 0.001], [0.437, 0.219, 0.218], [0.563, 0.781, 0.782], [0.781, 0.218, 0.999], [0.781, 0.782, 0.563], [0.782, 0.001, 0.219], [0.782, 0.563, 0.781], [0.999, 0.781, 0.218], [0.000, 0.000, 0.000]]
}

=====

Record 8
{
  "formula": "Ho7Er4Zr",
  "functional": "PBE-GGA",
  "state": "relaxed",
  "crystal_system": "triclinic",
  "ef_mev_per_atom": 168,
  "dos_ef_per_ev_cell": 23.00,
  "lattice_angstrom": [[5.870, 0.000, 0.000], [0.012, 6.790, 0.000], [0.524, 3.374, 9.219]],
  "species": ["Ho", "Ho", "Ho", "Ho", "Ho", "Ho", "Ho", "Er", "Er", "Er", "Er", "Zr"],
  "frac_coords": [[0.000, 0.000, 0.000], [0.218, 0.714, 0.576], [0.259, 0.535, 0.928], [0.261, 0.189, 0.625], [0.739, 0.811, 0.375], [0.741, 0.465, 0.072], [0.782, 0.286, 0.424], [0.273, 0.601, 0.271], [0.274, 0.129, 0.270], [0.726, 0.871, 0.730], [0.727, 0.399, 0.729], [0.500, 0.000, 0.000]]
}

=====

Record 9
{
  "formula": "HoEr3Zr",
  "functional": "PBE-GGA",
  "state": "relaxed",
  "crystal_system": "triclinic",
  "ef_mev_per_atom": 59,
  "dos_ef_per_ev_cell": 13.28,
  "lattice_angstrom": [[3.431, 0.000, 0.000], [1.715, 8.956, 0.000], [0.008, 2.679, 9.385]],
  "species": ["Ho", "Ho", "Er", "Er", "Er", "Er", "Er", "Er", "Zr", "Zr"],
  "frac_coords": [[0.103, 0.293, 0.059], [0.897, 0.707, 0.941], [0.107, 0.287, 0.546], [0.296, 0.907, 0.158], [0.497, 0.505, 0.749], [0.503, 0.495, 0.251], [0.704, 0.093, 0.842], [0.893, 0.713, 0.454], [0.296, 0.909, 0.638], [0.704, 0.091, 0.362]]
}

=====

Record 10
{
  "formula": "Ho7Er2Zr2",
  "functional": "PBE-GGA",
  "state": "relaxed",
  "crystal_system": "monoclinic",
  "ef_mev_per_atom": 246,
  "dos_ef_per_ev_cell": 14.90,
  "lattice_angstrom": [[5.625, -5.533, 0.000], [5.625, 5.533, 0.000], [-2.172, 0.000, 5.240]],
  "species": ["Ho", "Ho", "Ho", "Ho", "Ho", "Ho", "Ho", "Er", "Er", "Zr", "Zr"],
  "frac_coords": [[0.000, 0.000, 0.000], [0.032, 0.597, 0.823], [0.238, 0.238, 0.631], [0.403, 0.968, 0.177], [0.597, 0.032, 0.823], [0.762, 0.762, 0.369], [0.968, 0.403, 0.177], [0.224, 0.776, 0.500], [0.776, 0.224, 0.500], [0.441, 0.441, 0.215], [0.559, 0.559, 0.785]]
}

=====

Record 11
{
  "formula": "Ho3ErZr",
  "functional": "PBE-GGA",
  "state": "relaxed",
  "crystal_system": "triclinic",
  "ef_mev_per_atom": 61,
  "dos_ef_per_ev_cell": 13.44,
  "polymorph_energy_ev_per_fu": 0.084,
  "lattice_angstrom": [[3.438, 0.000, 0.000], [-1.717, 8.968, 0.000], [-0.010, -2.689, 9.405]],
  "species": ["Ho", "Ho", "Ho", "Ho", "Ho", "Ho", "Er", "Er", "Zr", "Zr"],
  "frac_coords": [[0.002, 0.004, 0.250], [0.203, 0.407, 0.842], [0.394, 0.787, 0.454], [0.606, 0.213, 0.546], [0.797, 0.593, 0.158], [0.998, 0.996, 0.750], [0.397, 0.794, 0.940], [0.603, 0.206, 0.060], [0.205, 0.408, 0.362], [0.795, 0.592, 0.638]]
}

=====

Record 12
{
  "formula": "Ho2Er8Zr",
  "functional": "PBE-GGA",
  "state": "relaxed",
  "crystal_system": "monoclinic",
  "ef_mev_per_atom": 116,
  "dos_ef_per_ev_cell": 17.40,
  "polymorph_energy_ev_per_fu": 0.828,
  "lattice_angstrom": [[8.604, -2.675, 0.000], [8.604, 2.675, 0.000], [-3.631, 0.000, 7.224]],
  "species": ["Ho", "Ho", "Er", "Er", "Er", "Er", "Er", "Er", "Er", "Er", "Zr"],
  "frac_coords": [[0.202, 0.202, 0.165], [0.798, 0.798, 0.835], [0.014, 0.014, 0.227], [0.156, 0.156, 0.687], [0.345, 0.345, 0.616], [0.382, 0.382, 0.072], [0.618, 0.618, 0.928], [0.655, 0.655, 0.384], [0.844, 0.844, 0.313], [0.986, 0.986, 0.773], [0.500, 0.500, 0.500]]
}